No. 1
A relaxed Ba3Rh14O28 crystal, computed with GGA-PBE.

Results
M_tot = 5.4 μB per formula unit
ΔE_f (raw) = -48.02 eV/f.u.
Symmetry = No. 2

a = 10.090 Å, b = 10.764 Å, c = 10.989 Å
α = 73.51°, β = 81.72°, γ = 77.19°
Sites, in units of the cell vectors:
O: 0.355 0.519 0.693
O: 0.776 0.663 0.134
O: 0.790 0.194 0.448
O: 0.414 0.760 0.736
O: 0.211 0.460 0.183
O: 0.506 0.115 0.533
O: 0.166 0.571 0.508
O: 0.224 0.337 0.866
O: 0.917 0.379 0.275
O: 0.935 0.908 0.587
O: 0.556 0.474 0.880
O: 0.494 0.885 0.467
O: 0.645 0.481 0.307
O: 0.729 0.955 0.408
O: 0.128 0.331 0.449
O: 0.924 0.027 0.897
O: 0.364 0.402 0.390
O: 0.841 0.903 0.166
O: 0.586 0.240 0.264
O: 0.401 0.288 0.061
O: 0.636 0.598 0.610
O: 0.689 0.717 0.350
O: 0.302 0.812 0.977
O: 0.779 0.312 0.754
O: 0.263 0.572 0.918
O: 0.363 0.052 0.014
O: 0.069 0.744 0.042
O: 0.083 0.621 0.725
O: 0.454 0.997 0.795
O: 0.789 0.540 0.817
O: 0.065 0.092 0.413
O: 0.984 0.618 0.308
O: 0.649 0.828 0.676
O: 0.737 0.428 0.082
O: 0.698 0.188 0.023
O: 0.022 0.858 0.366
O: 0.271 0.045 0.592
O: 0.872 0.669 0.551
O: 0.503 0.767 0.161
O: 0.881 0.144 0.224
O: 0.076 0.973 0.103
O: 0.931 0.256 0.958
O: 0.210 0.806 0.552
O: 0.599 0.712 0.939
O: 0.637 0.948 0.986
O: 0.978 0.142 0.634
O: 0.546 0.003 0.205
O: 0.016 0.382 0.692
O: 0.834 0.429 0.492
O: 0.159 0.097 0.834
O: 0.444 0.526 0.120
O: 0.351 0.172 0.324
O: 0.497 0.233 0.839
O: 0.119 0.856 0.776
O: 0.311 0.283 0.650
O: 0.221 0.688 0.246
Rh: 0.610 0.590 0.119
Rh: 0.895 0.021 0.403
Rh: 0.310 0.223 0.496
Rh: 0.469 0.876 0.974
Rh: 0.390 0.410 0.881
Rh: 0.405 0.349 0.216
Rh: 0.751 0.306 0.261
Rh: 0.961 0.266 0.456
Rh: 0.263 0.635 0.073
Rh: 0.817 0.553 0.315
Rh: 0.105 0.979 0.597
Rh: 0.167 0.509 0.354
Rh: 0.531 0.124 0.026
Rh: 0.976 0.205 0.788
Rh: 0.690 0.777 0.504
Rh: 0.039 0.734 0.544
Rh: 0.024 0.795 0.212
Rh: 0.737 0.365 0.927
Rh: 0.120 0.920 0.931
Rh: 0.326 0.161 0.829
Rh: 0.833 0.491 0.646
Rh: 0.674 0.839 0.171
Rh: 0.595 0.651 0.784
Rh: 0.183 0.447 0.685
Rh: 0.453 0.937 0.640
Rh: 0.880 0.080 0.069
Rh: 0.249 0.694 0.739
Rh: 0.547 0.063 0.360
Ba: 0.577 0.346 0.576
Ba: 0.733 0.033 0.734
Ba: 0.900 0.700 0.900
Ba: 0.100 0.300 0.100
Ba: 0.423 0.654 0.424
Ba: 0.267 0.967 0.266

---

No. 2
A relaxed BaRhO3 crystal, computed with GGA-PBE.

Results
M_tot = 0.0 μB per formula unit
ΔE_f (raw) = -8.06 eV/f.u.
Symmetry = No. 194

a = 5.063 Å, b = 5.837 Å, c = 5.837 Å
α = 120.00°, β = 90.00°, γ = 90.00°
Sites, in units of the cell vectors:
O: 0.260 0.842 0.158
O: 0.760 0.158 0.842
O: 0.260 0.316 0.158
O: 0.760 0.684 0.842
O: 0.260 0.842 0.684
O: 0.760 0.158 0.316
Rh: 0.510 0.000 0.000
Rh: 0.010 0.000 0.000
Ba: 0.259 0.333 0.667
Ba: 0.759 0.667 0.333